{
  "formula": "FeHRh2",
  "functional": "PBE-GGA",
  "state": "relaxed",
  "lattice": [[-3.608, 1.740, 3.977], [-2.300, -5.183, 0.181], [3.706, -1.504, 4.021]],
  "species": ["H", "Rh", "Fe", "H", "Fe", "Rh", "Rh", "Rh", "H", "Fe", "H", "Rh", "Rh", "Rh", "Fe", "Rh"],
  "fractional_positions": [[0.563, 0.001, 0.000], [0.312, 0.165, 0.835], [0.563, 0.500, 0.000], [0.063, 0.501, 0.500], [0.563, 0.000, 0.500], [0.313, 0.835, 0.165], [0.312, 0.335, 0.335], [0.813, 0.335, 0.335], [0.563, 0.499, 0.500], [0.063, 0.500, 0.000], [0.063, 0.999, 0.000], [0.813, 0.165, 0.835], [0.812, 0.835, 0.165], [0.313, 0.665, 0.665], [0.063, 0.000, 0.500], [0.812, 0.665, 0.665]],
  "dos_ef_per_ev_cell": 12.64,
  "total_energy_ev_per_cell": -104.237,
  "magmom_total_mub_per_atom": 0.885,
  "sg": "Pnma (62)"
}

=====

{
  "formula": "Al2Ga2Co",
  "functional": "PBE-GGA",
  "state": "relaxed",
  "lattice": [[6.322, 0.000, 0.000], [0.000, 6.322, 0.000], [0.000, 0.000, 3.889]],
  "species": ["Al", "Co", "Ga", "Al", "Co", "Ga", "Al", "Al", "Ga", "Ga"],
  "fractional_positions": [[0.335, 0.165, 0.500], [0.500, 0.500, 0.000], [0.855, 0.645, 0.000], [0.835, 0.335, 0.500], [0.000, 0.000, 0.000], [0.645, 0.145, 0.000], [0.165, 0.665, 0.500], [0.665, 0.835, 0.500], [0.355, 0.855, 0.000], [0.145, 0.355, 0.000]],
  "dos_ef_per_ev_cell": 5.71,
  "total_energy_ev_per_cell": -40.383,
  "magmom_total_mub_per_atom": 0.072,
  "sg": "P4/mbm (127)",
  "e_form_mev_per_atom": 91
}